{
  "formula": "RhIO3",
  "functional": "PBE",
  "state": "relaxed",
  "cell": [[4.1050, 0.0000, 0.0000], [0.0000, 4.1050, 0.0000], [0.0000, 0.0000, 4.1050]],
  "species": ["Rh", "I", "O", "O", "O"],
  "fractional_positions": [[0.0000, 0.0000, 0.0000], [0.5000, 0.5000, 0.5000], [0.0000, 0.5000, 0.5000], [0.5000, 0.0000, 0.5000], [0.5000, 0.5000, 0.0000]],
  "space_group": "Pm-3m (221)",
  "e_form_raw_mev_per_atom": 579,
  "total_energy_ry_per_atom": -0.3070,
  "mass_density_g_cm3": 6.67
}

***

{
  "formula": "Pm2NiSn3Ir4",
  "functional": "PBE",
  "state": "relaxed",
  "cell": [[4.2927, 0.0000, 0.0000], [0.0000, 4.2927, 0.0000], [0.0000, 0.0000, 11.2199]],
  "species": ["Pm", "Pm", "Ni", "Sn", "Sn", "Sn", "Ir", "Ir", "Ir", "Ir"],
  "fractional_positions": [[0.0000, 0.5000, 0.2402], [0.5000, 0.0000, 0.7598], [0.5000, 0.5000, 0.0000], [0.0000, 0.0000, 0.0000], [0.0000, 0.5000, 0.6346], [0.5000, 0.0000, 0.3654], [0.0000, 0.0000, 0.5000], [0.0000, 0.5000, 0.8661], [0.5000, 0.0000, 0.1339], [0.5000, 0.5000, 0.5000]],
  "space_group": "P-4m2 (115)",
  "formation_enthalpy_0k_ev_per_fu": -4.5,
  "total_energy_ry_per_atom": -0.4945,
  "mass_density_g_cm3": 11.84
}

***

{
  "formula": "IrI2O",
  "functional": "PBE",
  "state": "relaxed",
  "cell": [[0.0000, 3.3069, 3.3069], [3.3069, 0.0000, 3.3069], [3.3069, 3.3069, 0.0000]],
  "species": ["Ir", "I", "I", "O"],
  "fractional_positions": [[0.0000, 0.0000, 0.0000], [0.2500, 0.2500, 0.2500], [0.7500, 0.7500, 0.7500], [0.5000, 0.5000, 0.5000]],
  "space_group": "Fm-3m (225)",
  "polymorph_energy_mev_per_atom": 226.4,
  "e_form_raw_mev_per_atom": 884,
  "total_energy_ry_per_atom": -0.2459,
  "mass_density_g_cm3": 10.61
}

***

Question: What is the formula in the second record?
Answer: Pm2NiSn3Ir4